Arrangement a

MgFeF4: relaxed, PBE+U.

Properties
* volume: 10.96 Å³ per atom
* M_tot: 0.67 μB per atom

Structure (POSCAR):
```
MgFeF4
1.0
-2.5327 2.5327 5.1245
2.5327 -2.5327 5.1245
2.5327 2.5327 -5.1245
Mg Fe F
2 2 8
Cartesian
0.0000 0.0000 2.5622 Mg
0.0000 0.0000 7.6867 Mg
2.5327 0.0000 0.0000 Fe
0.0000 2.5327 0.0000 Fe
3.6806 1.1479 -1.3356 F
1.1479 1.3848 -1.3356 F
3.6806 1.1479 1.3356 F
1.1479 1.3848 1.3356 F
1.3848 1.1479 3.7889 F
-1.1479 1.3848 3.7889 F
1.3848 1.1479 6.4601 F
-1.1479 1.3848 6.4601 F
```

=====

Arrangement b

MgFeF4: relaxed, PBE+U.

Properties
* volume: 11.71 Å³ per atom
* M_tot: 0.67 μB per atom

Structure (POSCAR):
```
MgFeF4
1.0
3.4927 -5.5322 0.0000
3.4927 5.5322 0.0000
-3.4050 0.0000 3.6355
Mg Fe F
2 2 8
Cartesian
0.9390 4.5783 2.7266 Mg
2.6415 -4.5783 0.9089 Mg
2.6415 1.7236 0.9089 Fe
0.9390 -1.7236 2.7266 Fe
-0.5757 3.2985 2.9673 F
-1.0456 0.4861 2.8631 F
0.6568 -0.4861 1.0454 F
2.4537 3.2985 2.4859 F
1.1268 -3.2985 1.1496 F
2.9237 0.4861 2.5902 F
4.6262 -0.4861 0.7724 F
4.1562 -3.2985 0.6682 F
```

=====

Arrangement c

MgFeF4: relaxed, PBE+U.

Properties
* volume: 12.04 Å³ per atom
* M_tot: 0.67 μB per atom

Structure (POSCAR):
```
MgFeF4
1.0
5.0875 0.0000 0.0000
-0.0269 5.5638 0.0000
-1.9295 -1.9966 5.1027
Mg Fe F
2 2 8
Cartesian
0.0000 0.0000 0.0000 Mg
0.6492 0.0085 4.9826 Mg
0.3104 2.7906 2.4928 Fe
2.8727 0.0176 2.4933 Fe
-1.1491 2.4435 3.7611 F
-1.0856 -0.3667 4.0695 F
1.7356 0.3734 0.9158 F
1.7687 3.1248 1.2216 F
1.3815 1.1696 3.5629 F
1.5973 -1.4539 3.8402 F
4.1393 1.4674 1.1449 F
4.3281 4.4101 1.4245 F
```

=====

Computed stability ranking, most favorable first: arrangement b, arrangement c, arrangement a